# 1
VASP calculation (PBE) on an optimized crystal structure of Y4ScTe5.

Geometry as POSCAR:
```
Y4ScTe5
1.0
5.504 0.000 2.655
2.752 6.850 1.327
-0.224 0.000 7.497
Te Y Sc
5 4 1
direct
0.107 0.610 0.178
0.285 0.822 0.610
0.502 0.000 0.000
0.716 0.178 0.390
0.895 0.390 0.822
0.815 0.774 0.596
0.411 0.404 0.774
0.590 0.596 0.226
0.186 0.226 0.404
0.003 0.000 0.000
```

Properties
Energy above the lowest structure with this stoichiometry: 5 meV/atom
Symmetry: I4
Formation energy (no corrections): -1264 meV/atom

***

# 2
VASP calculation (PBE) on an optimized crystal structure of Y4ScTe5.

Geometry as POSCAR:
```
Y4ScTe5
1.0
-0.352 4.169 0.801
-1.173 0.677 -4.039
-14.394 -4.482 5.676
Te Y Sc
5 4 1
direct
0.909 0.909 0.818
0.293 0.293 0.586
0.091 0.091 0.182
0.500 0.500 0.000
0.707 0.707 0.414
0.813 0.813 0.626
0.392 0.392 0.784
0.187 0.187 0.374
0.608 0.608 0.216
0.000 0.000 0.000
```

Properties
Energy above the lowest structure with this stoichiometry: 0 meV/atom
Symmetry: I4/mmm
Formation energy (no corrections): -1269 meV/atom

***

# 3
VASP calculation (PBE) on an optimized crystal structure of Y6ScTe8.

Geometry as POSCAR:
```
Y6ScTe8
1.0
7.514 0.000 4.338
2.505 7.084 4.338
0.000 0.000 8.676
Te Sc Y
8 1 6
direct
0.248 0.752 0.752
0.752 0.248 0.248
0.250 0.250 0.250
0.248 0.752 0.248
0.248 0.248 0.752
0.752 0.248 0.752
0.750 0.750 0.750
0.752 0.752 0.248
0.000 0.000 0.000
0.500 0.000 0.000
0.500 0.000 0.500
0.000 0.000 0.500
0.000 0.500 0.000
0.500 0.500 0.000
0.000 0.500 0.500
```

Properties
Symmetry: Fm-3m
Formation energy (no corrections): -1354 meV/atom

***

# 4
VASP calculation (PBE) on an optimized crystal structure of Sc2Zn2Te.

Geometry as POSCAR:
```
Sc2Zn2Te
1.0
-2.180 6.010 -3.304
1.112 -3.111 -6.393
-3.744 -1.354 0.008
Zn Sc Te
4 4 2
direct
0.622 0.122 0.000
0.378 0.878 0.000
0.878 0.622 0.000
0.122 0.378 0.000
0.833 0.333 0.500
0.333 0.167 0.500
0.167 0.667 0.500
0.667 0.833 0.500
0.000 0.000 0.000
0.500 0.500 0.000
```

Properties
Energy above the lowest structure with this stoichiometry: 0 meV/atom
Symmetry: P4/mbm
Formation energy (no corrections): -381 meV/atom

***

# 5
VASP calculation (PBE) on an optimized crystal structure of ScZn2Te.

Geometry as POSCAR:
```
ScZn2Te
1.0
-1.125 2.800 2.871
-3.302 -2.438 1.084
2.578 -2.122 3.080
Zn Sc Te
2 1 1
direct
0.000 0.000 0.000
0.500 0.500 0.000
0.500 0.000 0.500
0.000 0.500 0.500
```

Properties
Symmetry: Pmmm
Formation energy (no corrections): -301 meV/atom

***

# 6
VASP calculation (PBE) on an optimized crystal structure of Sc5ZnTe2.

Geometry as POSCAR:
```
Sc5ZnTe2
1.0
5.308 0.000 0.000
-2.654 6.749 0.000
0.000 0.000 12.527
Sc Te Zn
10 4 2
direct
0.683 0.366 0.970
0.081 0.163 0.385
0.317 0.634 0.030
0.317 0.634 0.470
0.308 0.616 0.750
0.692 0.384 0.250
0.919 0.837 0.885
0.683 0.366 0.530
0.919 0.837 0.615
0.081 0.163 0.115
0.132 0.264 0.896
0.868 0.736 0.104
0.868 0.736 0.396
0.132 0.264 0.604
0.762 0.524 0.750
0.238 0.476 0.250
```

Properties
Symmetry: Cmcm
Formation energy (no corrections): -312 meV/atom

***

| no. | calculated volume (Å³ per cell) |
| --- | --- |
| 1 | 286.75 |
| 2 | 287.16 |
| 3 | 461.85 |
| 4 | 206.21 |
| 5 | 80.31 |
| 6 | 448.75 |